A relaxed La2AlSi4Pt3 crystal. Source: Alexandria via LeMat-Bulk, functional PBE-GGA.

Computed properties:
Magnetic moment = 0.00 μB per formula unit
Uncorrected formation energy = -10.46 eV per formula unit

CIF file:
```
data_La2AlSi4Pt3
_chemical_formula_sum 'La2 Al1 Si4 Pt3'
_space_group_name_H-M_alt 'P 1'
_space_group_IT_number 1
_cell_length_a 4.253
_cell_length_b 4.253
_cell_length_c 10.245
_cell_angle_alpha 90.00
_cell_angle_beta 90.00
_cell_angle_gamma 90.00
loop_
_space_group_symop_operation_xyz
'x,y,z'
loop_
_atom_site_label
_atom_site_type_symbol
_atom_site_fract_x
_atom_site_fract_y
_atom_site_fract_z
La1 La 0.500 0.000 0.244
La2 La 0.000 0.500 0.756
Al1 Al 0.500 0.500 0.500
Si1 Si 0.500 0.500 0.000
Si2 Si 0.000 0.000 0.000
Si3 Si 0.500 0.000 0.641
Si4 Si 0.000 0.500 0.359
Pt1 Pt 0.000 0.000 0.500
Pt2 Pt 0.500 0.000 0.881
Pt3 Pt 0.000 0.500 0.119
```

=====

A relaxed LaAl2SiPt4 crystal. Source: Alexandria via LeMat-Bulk, functional PBE-GGA.

Computed properties:
Magnetic moment = 0.00 μB per formula unit
Uncorrected formation energy = -7.76 eV per formula unit

CIF file:
```
data_LaAl2SiPt4
_chemical_formula_sum 'La1 Al2 Si1 Pt4'
_space_group_name_H-M_alt 'P 1'
_space_group_IT_number 1
_cell_length_a 4.295
_cell_length_b 4.295
_cell_length_c 9.274
_cell_angle_alpha 76.61
_cell_angle_beta 76.61
_cell_angle_gamma 60.00
loop_
_space_group_symop_operation_xyz
'x,y,z'
loop_
_atom_site_label
_atom_site_type_symbol
_atom_site_fract_x
_atom_site_fract_y
_atom_site_fract_z
La1 La 0.000 0.000 0.000
Al1 Al 0.758 0.758 0.726
Al2 Al 0.242 0.242 0.274
Si1 Si 0.500 0.500 0.500
Pt1 Pt 0.409 0.409 0.774
Pt2 Pt 0.861 0.861 0.416
Pt3 Pt 0.139 0.139 0.584
Pt4 Pt 0.591 0.591 0.226
```

=====

Look up the uncorrected formation energy of the second one. -7.76 eV per formula unit